Below is TaInCl2 after structural relaxation, with properties calculated at the GGA-PBEsol level.

Size of the total moment   0.00 Bohr magnetons per cell
ΔE_f (raw)   -0.237 eV per atom
Total energy   -0.3766 Ry per atom
Crystal system   monoclinic
Distance to the lowest polymorph of the same formula   326 meV per atom

Structure (POSCAR):
```
TaInCl2
1.0
3.100 0.000 0.000
0.000 4.396 0.000
-0.204 0.000 5.563
Ta In Cl
1 1 2
Direct
0.000 0.000 0.000
0.500 0.000 0.500
0.124 0.500 0.771
0.876 0.500 0.229
```